RbInReO6: optimized geometry, GGA-PBE. Values from VASP.

```
&SYSTEM
  ibrav = 0, nat = 9, ntyp = 4
/
ATOMIC_SPECIES
O 16.00 O.upf
Rb 85.47 Rb.upf
Re 186.21 Re.upf
In 114.82 In.upf
CELL_PARAMETERS angstrom
-4.780 -1.336 -2.737
0.174 -3.439 -4.502
-0.819 -4.705 3.625
ATOMIC_POSITIONS angstrom
O -2.388 -3.938 1.269
O -3.226 -5.252 -0.942
O -0.618 -5.252 -0.200
O -3.007 -2.362 -0.586
O -0.401 -2.809 -0.740
O -2.061 -4.084 -2.454
Rb -5.412 -9.465 -3.592
Re -1.889 -3.886 -0.512
In -3.519 -5.575 -3.073
```

Values from the calculation:
energy relative to the elements, uncorrected	-1395	meV/atom
space-group type	C2

***

TlCuRh2: optimized geometry, GGA-PBE. Values from VASP.

```
&SYSTEM
  ibrav = 0, nat = 4, ntyp = 3
/
ATOMIC_SPECIES
Rh 102.91 Rh.upf
Tl 204.38 Tl.upf
Cu 63.55 Cu.upf
CELL_PARAMETERS angstrom
-3.034 1.857 -3.257
-2.592 -3.638 -1.821
0.857 1.265 4.575
ATOMIC_POSITIONS angstrom
Rh -5.626 -1.780 -5.078
Rh -2.274 -1.631 0.108
Tl -2.813 -0.890 -2.539
Cu -2.496 1.116 -0.611
```

Values from the calculation:
E_form	0.181	eV per atom
space-group type	I-4m2